Record 1
# Tb4InP3Rh12 GGA-PBE optimized geometry
# space group = No. 229
# crystal system = cubic
# calculated total energy = -6.792 eV per atom
data_Tb4InP3Rh12
_cell_length_a 7.858
_cell_length_b 7.858
_cell_length_c 7.858
_cell_angle_alpha 109.47
_cell_angle_beta 109.47
_cell_angle_gamma 109.47
_symmetry_space_group_name_H-M 'P 1'
_symmetry_Int_Tables_number 1
_symmetry_space_group_name_Hall 'P 1'
loop_
_atom_site_label
_atom_site_fract_x
_atom_site_fract_y
_atom_site_fract_z
Tb1 0.000 0.000 0.500
Tb2 0.000 0.500 0.000
Tb3 0.500 0.000 0.000
Tb4 0.500 0.500 0.500
In1 0.000 0.000 0.000
P1 0.000 0.500 0.500
P2 0.500 0.000 0.500
P3 0.500 0.500 0.000
Rh1 0.000 0.269 0.269
Rh2 0.000 0.731 0.731
Rh3 0.250 0.500 0.750
Rh4 0.250 0.750 0.500
Rh5 0.269 0.000 0.269
Rh6 0.269 0.269 0.000
Rh7 0.500 0.250 0.750
Rh8 0.500 0.750 0.250
Rh9 0.731 0.000 0.731
Rh10 0.731 0.731 0.000
Rh11 0.750 0.250 0.500
Rh12 0.750 0.500 0.250

=====

Record 2
# K2GePbI6 GGA-PBE optimized geometry
# space group = No. 146
# crystal system = trigonal
# ΔE_f (raw) = -8.57 eV/f.u.
data_K2GePbI6
_cell_length_a 8.751
_cell_length_b 8.751
_cell_length_c 8.751
_cell_angle_alpha 57.79
_cell_angle_beta 57.79
_cell_angle_gamma 57.79
_symmetry_space_group_name_H-M 'P 1'
_symmetry_Int_Tables_number 1
_symmetry_space_group_name_Hall 'P 1'
loop_
_atom_site_label
_atom_site_fract_x
_atom_site_fract_y
_atom_site_fract_z
K1 0.000 0.000 0.000
K2 0.500 0.500 0.500
Ge1 0.714 0.714 0.714
Pb1 0.214 0.214 0.214
I1 0.041 0.461 0.849
I2 0.365 0.940 0.562
I3 0.461 0.849 0.041
I4 0.562 0.365 0.940
I5 0.849 0.041 0.461
I6 0.940 0.562 0.365

=====

Record 3
# Zr2TaTc GGA-PBE optimized geometry
# space group = No. 119
# crystal system = tetragonal
# energy above the most stable polymorph in this dataset = 145.9 meV/atom
data_Zr2TaTc
_cell_length_a 4.734
_cell_length_b 4.734
_cell_length_c 4.734
_cell_angle_alpha 119.96
_cell_angle_beta 119.96
_cell_angle_gamma 90.07
_symmetry_space_group_name_H-M 'P 1'
_symmetry_Int_Tables_number 1
_symmetry_space_group_name_Hall 'P 1'
loop_
_atom_site_label
_atom_site_fract_x
_atom_site_fract_y
_atom_site_fract_z
Zr1 0.000 0.000 0.000
Zr2 0.750 0.250 0.500
Ta1 0.250 0.750 0.500
Tc1 0.500 0.500 0.000

=====

Record 4
# Y2TeAs2 GGA-PBE optimized geometry
# space group = No. 139
# crystal system = tetragonal
# energy above the most stable polymorph in this dataset = 0.0 meV/atom
# ΔE_f (raw) = -5.63 eV/f.u.
data_Y2TeAs2
_cell_length_a 5.959
_cell_length_b 5.959
_cell_length_c 5.959
_cell_angle_alpha 126.23
_cell_angle_beta 126.23
_cell_angle_gamma 79.51
_symmetry_space_group_name_H-M 'P 1'
_symmetry_Int_Tables_number 1
_symmetry_space_group_name_Hall 'P 1'
loop_
_atom_site_label
_atom_site_fract_x
_atom_site_fract_y
_atom_site_fract_z
Y1 0.250 0.750 0.500
Y2 0.750 0.250 0.500
Te1 0.000 0.000 0.000
As1 0.365 0.365 0.000
As2 0.635 0.635 0.000

=====

Record 5
# HfTaMo GGA-PBE optimized geometry
# space group = No. 156
# crystal system = trigonal
# calculated total energy = -10.914 eV per atom
data_HfTaMo
_cell_length_a 4.629
_cell_length_b 4.629
_cell_length_c 2.980
_cell_angle_alpha 90.00
_cell_angle_beta 90.00
_cell_angle_gamma 120.00
_symmetry_space_group_name_H-M 'P 1'
_symmetry_Int_Tables_number 1
_symmetry_space_group_name_Hall 'P 1'
loop_
_atom_site_label
_atom_site_fract_x
_atom_site_fract_y
_atom_site_fract_z
Hf1 0.000 0.000 0.000
Ta1 0.667 0.333 0.415
Mo1 0.333 0.667 0.684

=====

Record 6
# AlTl2Au GGA-PBE optimized geometry
# space group = No. 71
# crystal system = orthorhombic
# energy above the most stable polymorph in this dataset = 21.0 meV/atom
data_AlTl2Au
_cell_length_a 8.188
_cell_length_b 8.188
_cell_length_c 8.188
_cell_angle_alpha 154.28
_cell_angle_beta 153.85
_cell_angle_gamma 37.01
_symmetry_space_group_name_H-M 'P 1'
_symmetry_Int_Tables_number 1
_symmetry_space_group_name_Hall 'P 1'
loop_
_atom_site_label
_atom_site_fract_x
_atom_site_fract_y
_atom_site_fract_z
Al1 0.000 0.000 0.000
Tl1 0.174 0.674 0.500
Tl2 0.826 0.326 0.500
Au1 0.500 0.500 0.000

=====

Please write out number 6 again, unchanged.
# AlTl2Au GGA-PBE optimized geometry
# space group = No. 71
# crystal system = orthorhombic
# energy above the most stable polymorph in this dataset = 21.0 meV/atom
data_AlTl2Au
_cell_length_a 8.188
_cell_length_b 8.188
_cell_length_c 8.188
_cell_angle_alpha 154.28
_cell_angle_beta 153.85
_cell_angle_gamma 37.01
_symmetry_space_group_name_H-M 'P 1'
_symmetry_Int_Tables_number 1
_symmetry_space_group_name_Hall 'P 1'
loop_
_atom_site_label
_atom_site_fract_x
_atom_site_fract_y
_atom_site_fract_z
Al1 0.000 0.000 0.000
Tl1 0.174 0.674 0.500
Tl2 0.826 0.326 0.500
Au1 0.500 0.500 0.000